# 1
DFT (PBE-GGA) results for a relaxed TlRe2TcMo crystal.

a = 4.8179 Å, b = 4.8179 Å, c = 4.7659 Å
α = 90.00°, β = 90.00°, γ = 90.00°
Space group P4/mmm (No. 123)
Unique sites:
Tl (0.0000, 0.0000, 0.0000) (multiplicity 1)
Re (0.0000, 0.5000, 0.0000) (multiplicity 2)
Tc (0.0000, 0.0000, 0.5000) (multiplicity 1)
Mo (0.5000, 0.5000, 0.5000) (multiplicity 1)

## Properties
The calculation puts the formation energy at 3.31 eV per atom. The density of states at the Fermi level is 5.462 states/eV per cell. Its energy is -31.9 eV for the cell shown.

# 2
DFT (PBE-GGA) results for a relaxed Sr2MgZnBr crystal.

a = 6.0853 Å, b = 6.0853 Å, c = 5.7755 Å
α = 90.00°, β = 90.00°, γ = 90.00°
Space group P4/mmm (No. 123)
Unique sites:
Sr (0.0000, 0.5000, 0.0000) (multiplicity 2)
Mg (0.0000, 0.0000, 0.5000) (multiplicity 1)
Zn (0.5000, 0.5000, 0.0000) (multiplicity 1)
Br (0.5000, 0.5000, 0.5000) (multiplicity 1)

## Properties
The calculation puts the formation energy (no corrections) at -55 meV/atom. The density of states at the Fermi level is 3.584 states/eV per cell. Its energy is -8.2 eV for the cell shown.

# 3
DFT (PBE-GGA) results for a relaxed V3Pd6Pt2 crystal.

a = 4.7756 Å, b = 6.1287 Å, c = 6.2164 Å
α = 108.11°, β = 97.14°, γ = 105.01°
Space group P-1 (No. 2)
Unique sites:
V (0.0000, 0.0000, 0.0000) (multiplicity 1)
V (0.3591, 0.4503, 0.2496) (multiplicity 2)
Pd (0.0823, 0.3613, 0.8191) (multiplicity 2)
Pd (0.1831, 0.7210, 0.6403) (multiplicity 2)
Pd (0.2788, 0.1100, 0.4527) (multiplicity 2)
Pt (0.4645, 0.8156, 0.0879) (multiplicity 2)

## Properties
The calculation puts the formation energy at -0.27 eV per atom. The density of states at the Fermi level is 11.544 states/eV per cell. Its energy is -73.6 eV for the cell shown.

# 4
DFT (PBE-GGA) results for a relaxed Mn3VH crystal.

a = 4.4962 Å, b = 4.4962 Å, c = 4.4962 Å
α = 90.00°, β = 90.00°, γ = 90.00°
Space group Pm-3m (No. 221)
Unique sites:
Mn (0.0000, 0.0000, 0.5000) (multiplicity 3)
V (0.0000, 0.0000, 0.0000) (multiplicity 1)
H (0.5000, 0.5000, 0.5000) (multiplicity 1)

## Properties
The density of states at the Fermi level is 3.389 states/eV per cell. Its energy is -32.2 eV for the cell shown.

# 5
DFT (PBE-GGA) results for a relaxed LiFeP2Au crystal.

a = 4.2356 Å, b = 4.2356 Å, c = 4.5902 Å
α = 90.00°, β = 90.00°, γ = 90.00°
Space group P4/mmm (No. 123)
Unique sites:
Li (0.0000, 0.0000, 0.0000) (multiplicity 1)
Fe (0.5000, 0.5000, 0.5000) (multiplicity 1)
P (0.0000, 0.5000, 0.0000) (multiplicity 2)
Au (0.0000, 0.0000, 0.5000) (multiplicity 1)

## Properties
The calculation puts the formation energy at 0.84 eV per atom. The density of states at the Fermi level is 4.728 states/eV per cell. Its energy is -20.3 eV for the cell shown.

# 6
DFT (PBE-GGA) results for a relaxed Ho2VIn crystal.

a = 3.3050 Å, b = 3.3050 Å, c = 33.0383 Å
α = 90.00°, β = 90.00°, γ = 120.00°
Space group R-3m (No. 166, hexagonal axes)
Unique sites:
Ho (0.0000, 0.0000, 0.0857) (multiplicity 6)
V (0.0000, 0.0000, 0.0000) (multiplicity 3)
In (0.0000, 0.0000, 0.5000) (multiplicity 3)

## Properties
The calculation puts the formation energy at 0.47 eV per atom. The density of states at the Fermi level is 15.840 states/eV per cell. Its energy is -57.4 eV for the cell shown.

# 7
DFT (PBE-GGA) results for a relaxed La4AlGe2 crystal.

a = 5.0780 Å, b = 5.0780 Å, c = 29.2075 Å
α = 90.00°, β = 90.00°, γ = 120.00°
Space group R-3m (No. 166, hexagonal axes)
Unique sites:
La (0.0000, 0.0000, 0.1206) (multiplicity 6)
La (0.0000, 0.0000, 0.2939) (multiplicity 6)
Al (0.0000, 0.0000, 0.5000) (multiplicity 3)
Ge (0.0000, 0.0000, 0.4047) (multiplicity 6)

## Properties
The calculation puts the formation energy at -0.49 eV per atom. The density of states at the Fermi level is 26.149 states/eV per cell. Its energy is -108.3 eV for the cell shown.

# 8
DFT (PBE-GGA) results for a relaxed AlAgMo2 crystal.

a = 7.2736 Å, b = 7.2736 Å, c = 5.2229 Å
α = 90.00°, β = 90.00°, γ = 90.00°
Space group I-42d (No. 122)
Unique sites:
Al (0.0000, 0.0000, 0.0000) (multiplicity 4)
Ag (0.0000, 0.0000, 0.5000) (multiplicity 4)
Mo (0.2354, 0.7500, 0.1250) (multiplicity 8)

## Properties
The calculation puts the formation energy at 0.75 eV per atom. The density of states at the Fermi level is 11.994 states/eV per cell. Its energy is -101.0 eV for the cell shown.